1.
Density functional theory data (PBE) for an optimized crystal structure of U2Zn16Ag.

ΔE_f	-0.0442	eV per atom
crystal system	trigonal
volume	309.12	Å³/cell
M_tot	5.5	μB/f.u.

abc: 6.813 6.813 6.813
angles: 82.71 82.71 82.71
Element x y z (fractional)
U 0.000 0.000 0.000
U 0.318 0.318 0.318
Zn 0.012 0.012 0.499
Zn 0.012 0.499 0.012
Zn 0.160 0.657 0.657
Zn 0.305 0.305 0.819
Zn 0.305 0.819 0.305
Zn 0.362 0.658 0.955
Zn 0.362 0.955 0.658
Zn 0.499 0.012 0.012
Zn 0.549 0.549 0.549
Zn 0.657 0.160 0.657
Zn 0.657 0.657 0.160
Zn 0.658 0.362 0.955
Zn 0.658 0.955 0.362
Zn 0.819 0.305 0.305
Zn 0.955 0.362 0.658
Zn 0.955 0.658 0.362
Ag 0.757 0.757 0.757

2.
Density functional theory data (PBE) for an optimized crystal structure of Mg2FeTc.

ΔE_f	0.2604	eV per atom
E above lowest polymorph	164	meV/atom
crystal system	orthorhombic
volume	130.11	Å³/cell
M_tot	2.7	μB/f.u.

abc: 3.056 4.640 9.176
angles: 90.00 90.00 90.00
Element x y z (fractional)
Mg 0.000 0.000 0.000
Mg 0.000 0.500 0.221
Mg 0.500 0.000 0.721
Mg 0.500 0.500 0.500
Fe 0.000 0.000 0.466
Fe 0.500 0.500 0.966
Tc 0.000 0.500 0.767
Tc 0.500 0.000 0.267

3.
Density functional theory data (PBE) for an optimized crystal structure of TiV2Pd2.

ΔE_f	-0.0336	eV per atom
E above lowest polymorph	0	meV/atom
crystal system	tetragonal
volume	154.80	Å³/cell
M_tot	2.2	μB/f.u.

abc: 7.518 7.518 2.739
angles: 90.00 90.00 90.00
Element x y z (fractional)
Ti 0.000 0.000 0.000
Ti 0.500 0.500 0.000
V 0.170 0.330 0.500
V 0.330 0.830 0.500
V 0.670 0.170 0.500
V 0.830 0.670 0.500
Pd 0.128 0.628 0.000
Pd 0.372 0.128 0.000
Pd 0.628 0.872 0.000
Pd 0.872 0.372 0.000

4.
Density functional theory data (PBE) for an optimized crystal structure of Tb6Ir2Se3S.

crystal system	monoclinic
volume	292.90	Å³/cell
formation energy without anion corrections	-1.493	eV/atom
M_tot	0.0	μB/f.u.

abc: 9.308 9.308 8.352
angles: 105.85 105.85 24.94
Element x y z (fractional)
Tb 0.011 0.011 0.248
Tb 0.331 0.331 0.421
Tb 0.332 0.332 0.882
Tb 0.668 0.668 0.118
Tb 0.669 0.669 0.579
Tb 0.989 0.989 0.752
Ir 0.170 0.170 0.347
Ir 0.830 0.830 0.653
Se 0.160 0.160 0.847
Se 0.500 0.500 0.500
Se 0.840 0.840 0.153
S 0.500 0.500 0.000

5.
Density functional theory data (PBE) for an optimized crystal structure of KPuTe4.

crystal system	tetragonal
volume	420.13	Å³/cell
formation energy without anion corrections	-0.761	eV/atom
M_tot	5.1	μB/f.u.

abc: 6.826 6.826 9.016
angles: 90.00 90.00 90.00
Element x y z (fractional)
K 0.250 0.250 0.000
K 0.750 0.750 0.000
Pu 0.250 0.250 0.500
Pu 0.750 0.750 0.500
Te 0.102 0.602 0.290
Te 0.102 0.898 0.710
Te 0.398 0.602 0.710
Te 0.398 0.898 0.290
Te 0.602 0.102 0.710
Te 0.602 0.398 0.290
Te 0.898 0.102 0.290
Te 0.898 0.398 0.710

6.
Density functional theory data (PBE) for an optimized crystal structure of Ba3In3Au2.

ΔE_f	-0.5388	eV per atom
crystal system	orthorhombic
volume	531.67	Å³/cell
M_tot	0.0	μB/f.u.

abc: 6.592 6.592 18.156
angles: 90.00 90.00 137.63
Element x y z (fractional)
Ba 0.045 0.955 0.606
Ba 0.045 0.955 0.894
Ba 0.333 0.667 0.750
Ba 0.667 0.333 0.250
Ba 0.955 0.045 0.106
Ba 0.955 0.045 0.394
In 0.331 0.669 0.536
In 0.331 0.669 0.964
In 0.375 0.625 0.250
In 0.625 0.375 0.750
In 0.669 0.331 0.036
In 0.669 0.331 0.464
Au 0.246 0.754 0.115
Au 0.246 0.754 0.385
Au 0.754 0.246 0.615
Au 0.754 0.246 0.885

7.
Density functional theory data (PBE) for an optimized crystal structure of HfP2IrO.

E above lowest polymorph	0	meV/atom
crystal system	tetragonal
volume	84.91	Å³/cell
formation energy without anion corrections	-0.063	eV/atom
M_tot	0.0	μB/f.u.

abc: 4.810 4.810 3.671
angles: 90.00 90.00 90.00
Element x y z (fractional)
Hf 0.000 0.000 0.000
P 0.000 0.500 0.500
P 0.500 0.000 0.500
Ir 0.500 0.500 0.500
O 0.500 0.500 0.000

8.
Density functional theory data (PBE) for an optimized crystal structure of BaSr3N.

E above lowest polymorph	0	meV/atom
crystal system	orthorhombic
volume	404.73	Å³/cell
formation energy without anion corrections	-0.237	eV/atom
M_tot	0.0	μB/f.u.

abc: 10.857 9.273 4.020
angles: 90.00 90.00 90.00
Element x y z (fractional)
Ba 0.250 0.000 0.001
Ba 0.750 0.000 0.999
Sr 0.000 0.311 0.500
Sr 0.000 0.689 0.500
Sr 0.250 0.500 0.000
Sr 0.500 0.311 0.500
Sr 0.500 0.689 0.500
Sr 0.750 0.500 0.000
N 0.000 0.500 0.000
N 0.500 0.500 0.000

9.
Density functional theory data (PBE) for an optimized crystal structure of BTePN2.

E above lowest polymorph	359	meV/atom
crystal system	tetragonal
volume	87.62	Å³/cell
formation energy without anion corrections	1.545	eV/atom
M_tot	0.3	μB/f.u.

abc: 3.391 3.391 7.618
angles: 90.00 90.00 90.00
Element x y z (fractional)
B 0.000 0.000 0.000
Te 0.000 0.000 0.500
P 0.500 0.500 0.500
N 0.000 0.500 0.000
N 0.500 0.000 0.000

10.
Density functional theory data (PBE) for an optimized crystal structure of Th2SnAs.

ΔE_f	-0.8154	eV per atom
E above lowest polymorph	99	meV/atom
crystal system	tetragonal
volume	106.33	Å³/cell
M_tot	0.0	μB/f.u.

abc: 3.600 3.600 8.206
angles: 90.00 90.00 90.00
Element x y z (fractional)
Th 0.000 0.000 0.222
Th 0.000 0.000 0.778
Sn 0.500 0.500 0.500
As 0.500 0.500 0.000

11.
Density functional theory data (PBE) for an optimized crystal structure of La4OsPt2.

ΔE_f	-0.6875	eV per atom
crystal system	monoclinic
volume	414.88	Å³/cell
M_tot	0.0	μB/f.u.

abc: 14.784 4.424 7.143
angles: 90.00 117.38 90.00
Element x y z (fractional)
La 0.114 0.000 0.280
La 0.131 0.500 0.795
La 0.369 0.000 0.205
La 0.386 0.500 0.720
La 0.614 0.500 0.280
La 0.631 0.000 0.795
La 0.869 0.500 0.205
La 0.886 0.000 0.720
Os 0.000 0.500 0.000
Os 0.500 0.000 0.000
Pt 0.243 0.500 0.249
Pt 0.257 0.000 0.751
Pt 0.743 0.000 0.249
Pt 0.757 0.500 0.751

12.
Density functional theory data (PBE) for an optimized crystal structure of La2ZnAu.

ΔE_f	-0.3666	eV per atom
crystal system	trigonal
volume	361.01	Å³/cell
M_tot	0.0	μB/f.u.

abc: 4.042 4.042 25.514
angles: 90.00 90.00 120.00
Element x y z (fractional)
La 0.000 0.000 0.247
La 0.000 0.000 0.753
La 0.333 0.667 0.419
La 0.333 0.667 0.914
La 0.667 0.333 0.086
La 0.667 0.333 0.581
Zn 0.000 0.000 0.000
Zn 0.333 0.667 0.667
Zn 0.667 0.333 0.333
Au 0.000 0.000 0.500
Au 0.333 0.667 0.167
Au 0.667 0.333 0.833

Copy entry 12 word for word.
Density functional theory data (PBE) for an optimized crystal structure of La2ZnAu.

ΔE_f	-0.3666	eV per atom
crystal system	trigonal
volume	361.01	Å³/cell
M_tot	0.0	μB/f.u.

abc: 4.042 4.042 25.514
angles: 90.00 90.00 120.00
Element x y z (fractional)
La 0.000 0.000 0.247
La 0.000 0.000 0.753
La 0.333 0.667 0.419
La 0.333 0.667 0.914
La 0.667 0.333 0.086
La 0.667 0.333 0.581
Zn 0.000 0.000 0.000
Zn 0.333 0.667 0.667
Zn 0.667 0.333 0.333
Au 0.000 0.000 0.500
Au 0.333 0.667 0.167
Au 0.667 0.333 0.833

> The highest M_tot belongs to which entry?

U2Zn16Ag

> What is the volume in the first record?

309.12 Å³/cell